A geometry-optimized ReHg2PCl structure. Source: the Alexandria database, functional GGA-PBE.

Results
As for the formation energy without anion corrections: 0.351 eV/atom.

abc: 5.460 5.460 4.468
angles: 90.00 90.00 90.00
Space group P4/mmm (No. 123)
Asymmetric unit:
Re: 0.000 0.000 0.000 (multiplicity 1)
Hg: 0.000 0.500 0.000 (multiplicity 2)
P: 0.000 0.000 0.500 (multiplicity 1)
Cl: 0.500 0.500 0.500 (multiplicity 1)



A geometry-optimized NpBeNbO6 structure. Source: the Alexandria database, functional GGA-PBE.

Results
As for the formation energy without anion corrections: -2.459 eV/atom.

abc: 5.0625 5.0625 9.0411
angles: 90.00 90.00 120.00
Space group P-31c (No. 163)
Asymmetric unit:
Np: 0.3333 0.6667 0.2500 (multiplicity 2)
Be: 0.3333 0.6667 0.7500 (multiplicity 2)
Nb: 0.0000 0.0000 0.0000 (multiplicity 2)
O: 0.0345 0.3451 0.6299 (multiplicity 12)



A geometry-optimized La4TcCl2F structure. Source: the Alexandria database, functional GGA-PBE.

Results
As for the formation energy without anion corrections: -1.378 eV/atom.

abc: 6.734 4.059 7.924
angles: 90.00 105.97 90.00
Space group P2/m (No. 10)
Asymmetric unit:
La: 0.241 0.000 0.209 (multiplicity 2)
La: 0.248 0.500 0.790 (multiplicity 2)
Tc: 0.500 0.000 0.000 (multiplicity 1)
Cl: 0.000 0.000 0.500 (multiplicity 1)
Cl: 0.500 0.500 0.500 (multiplicity 1)
F: 0.000 0.500 0.000 (multiplicity 1)



A geometry-optimized TlTeCI2 structure. Source: the Alexandria database, functional GGA-PBE.

Results
As for the formation energy without anion corrections: 1.665 eV/atom. The energy relative to the lowest polymorph listed for this composition comes out at 4.41 eV per formula unit.

abc: 6.070 6.070 6.001
angles: 90.00 90.00 90.00
Space group P4/mmm (No. 123)
Asymmetric unit:
Tl: 0.000 0.000 0.000 (multiplicity 1)
Te: 0.000 0.000 0.500 (multiplicity 1)
C: 0.500 0.500 0.500 (multiplicity 1)
I: 0.000 0.500 0.000 (multiplicity 2)



A geometry-optimized HoTm4Pb2 structure. Source: the Alexandria database, functional GGA-PBE.

Results
The formation energy comes out at -220 meV/atom.

abc: 8.015 6.519 8.629
angles: 90.00 114.24 90.00
Space group P2_1/m (No. 11)
Asymmetric unit:
Ho: 0.101 0.250 0.362 (multiplicity 2)
Tm: 0.179 0.750 0.069 (multiplicity 2)
Tm: 0.337 0.003 0.778 (multiplicity 4)
Tm: 0.455 0.750 0.482 (multiplicity 2)
Pb: 0.049 0.750 0.368 (multiplicity 2)
Pb: 0.278 0.250 0.095 (multiplicity 2)



A geometry-optimized TbMgZn structure. Source: the Alexandria database, functional GGA-PBE.

Results
The formation energy comes out at -161 meV/atom.

abc: 3.358 3.358 12.196
angles: 90.00 90.00 90.00
Space group I4mm (No. 107)
Asymmetric unit:
Tb: 0.000 0.000 0.000 (multiplicity 2)
Mg: 0.000 0.000 0.704 (multiplicity 2)
Zn: 0.000 0.000 0.341 (multiplicity 2)



A geometry-optimized Ca3SBr structure. Source: the Alexandria database, functional GGA-PBE.

Results
As for the formation energy without anion corrections: -0.881 eV/atom. The energy relative to the lowest polymorph listed for this composition comes out at 0.00 eV per formula unit.

abc: 5.468 5.468 5.468
angles: 90.00 90.00 90.00
Space group Pm-3m (No. 221)
Asymmetric unit:
Ca: 0.000 0.000 0.500 (multiplicity 3)
S: 0.000 0.000 0.000 (multiplicity 1)
Br: 0.500 0.500 0.500 (multiplicity 1)



A geometry-optimized TbCeNi17 structure. Source: the Alexandria database, functional GGA-PBE.

Results
The formation energy comes out at -197 meV/atom.

abc: 8.2952 8.2952 12.0876
angles: 90.00 90.00 120.00
Space group R3m (No. 160, hexagonal axes)
Asymmetric unit:
Tb: 0.0000 0.0000 0.0000 (multiplicity 3)
Ce: 0.0000 0.0000 0.6776 (multiplicity 3)
Ni: 0.0000 0.0000 0.2402 (multiplicity 3)
Ni: 0.0000 0.0000 0.4389 (multiplicity 3)
Ni: 0.0006 0.2940 0.3383 (multiplicity 18)
Ni: 0.0007 0.5003 0.4927 (multiplicity 9)
Ni: 0.0011 0.5005 0.1846 (multiplicity 9)
Ni: 0.0017 0.5009 0.8377 (multiplicity 9)